Compound: Rb3LiAu
Source: Alexandria via LeMat-Bulk
Functional: PBEsol
Structure: optimized geometry

Properties
Energy of formation (eV per atom): 0.0721
Space group: Pm-3m (221)

The structure in CIF format:
```
data_Rb3LiAu
_cell_length_a 6.6157
_cell_length_b 6.6157
_cell_length_c 6.6157
_cell_angle_alpha 90.00
_cell_angle_beta 90.00
_cell_angle_gamma 90.00
_space_group_name_H-M_alt 'P 1'
_space_group_IT_number 1
_space_group_name_Hall 'P 1'
loop_
_atom_site_label
_atom_site_type_symbol
_atom_site_fract_x
_atom_site_fract_y
_atom_site_fract_z
_atom_site_occupancy
Au1 Au 0.0000 0.0000 0.0000 1
Rb1 Rb 0.0000 0.5000 0.0000 1
Rb2 Rb 0.0000 0.0000 0.5000 1
Rb3 Rb 0.5000 0.0000 0.0000 1
Li1 Li 0.5000 0.5000 0.5000 1
```

Compound: ZrNb2AlAs
Source: Alexandria via LeMat-Bulk
Functional: PBEsol
Structure: optimized geometry

Properties
Energy of formation (eV per atom): 0.9327
Space group: P4/mmm (123)

The structure in CIF format:
```
data_ZrNb2AlAs
_cell_length_a 4.5540
_cell_length_b 4.7753
_cell_length_c 4.7753
_cell_angle_alpha 90.00
_cell_angle_beta 90.00
_cell_angle_gamma 90.00
_space_group_name_H-M_alt 'P 1'
_space_group_IT_number 1
_space_group_name_Hall 'P 1'
loop_
_atom_site_label
_atom_site_type_symbol
_atom_site_fract_x
_atom_site_fract_y
_atom_site_fract_z
_atom_site_occupancy
Nb1 Nb 0.0000 0.0000 0.5000 1
Nb2 Nb 0.0000 0.5000 0.0000 1
As1 As 0.5000 0.0000 0.0000 1
Zr1 Zr 0.5000 0.5000 0.5000 1
Al1 Al 0.0000 0.0000 0.0000 1
```

Compound: Tl2CrTc
Source: Alexandria via LeMat-Bulk
Functional: PBEsol
Structure: optimized geometry

Properties
Energy of formation (eV per atom): 0.7597
Space group: I4/mmm (139)

The structure in CIF format:
```
data_Tl2CrTc
_cell_length_a 4.6512
_cell_length_b 4.6484
_cell_length_c 4.6512
_cell_angle_alpha 59.98
_cell_angle_beta 90.00
_cell_angle_gamma 120.02
_space_group_name_H-M_alt 'P 1'
_space_group_IT_number 1
_space_group_name_Hall 'P 1'
loop_
_atom_site_label
_atom_site_type_symbol
_atom_site_fract_x
_atom_site_fract_y
_atom_site_fract_z
_atom_site_occupancy
Cr1 Cr 0.5000 0.0000 0.5000 1
Tc1 Tc 0.0000 0.0000 0.0000 1
Tl1 Tl 0.2500 0.5000 0.2500 1
Tl2 Tl 0.7500 0.5000 0.7500 1
```

Compound: CrPt5
Source: Alexandria via LeMat-Bulk
Functional: PBEsol
Structure: optimized geometry

Properties
Energy of formation (eV per atom): -0.1149
Space group: P4/mmm (123)

The structure in CIF format:
```
data_CrPt5
_cell_length_a 2.7040
_cell_length_b 2.7040
_cell_length_c 11.7498
_cell_angle_alpha 90.00
_cell_angle_beta 90.00
_cell_angle_gamma 90.00
_space_group_name_H-M_alt 'P 1'
_space_group_IT_number 1
_space_group_name_Hall 'P 1'
loop_
_atom_site_label
_atom_site_type_symbol
_atom_site_fract_x
_atom_site_fract_y
_atom_site_fract_z
_atom_site_occupancy
Cr1 Cr 0.5000 0.5000 0.0000 1
Pt1 Pt 0.0000 0.0000 0.8501 1
Pt2 Pt 0.0000 0.0000 0.1499 1
Pt3 Pt 0.5000 0.5000 0.6723 1
Pt4 Pt 0.5000 0.5000 0.3277 1
Pt5 Pt 0.0000 0.0000 0.5000 1
```

Compound: CaFePbO2
Source: Alexandria via LeMat-Bulk
Functional: PBEsol
Structure: optimized geometry

Properties
Raw formation energy (eV per atom): -0.1963
Space group: P4/mmm (123)

The structure in CIF format:
```
data_CaFePbO2
_cell_length_a 4.0092
_cell_length_b 4.0092
_cell_length_c 5.0399
_cell_angle_alpha 90.00
_cell_angle_beta 90.00
_cell_angle_gamma 90.00
_space_group_name_H-M_alt 'P 1'
_space_group_IT_number 1
_space_group_name_Hall 'P 1'
loop_
_atom_site_label
_atom_site_type_symbol
_atom_site_fract_x
_atom_site_fract_y
_atom_site_fract_z
_atom_site_occupancy
Pb1 Pb 0.5000 0.5000 0.5000 1
Ca1 Ca 0.0000 0.0000 0.5000 1
Fe1 Fe 0.0000 0.0000 0.0000 1
O1 O 0.0000 0.5000 0.0000 1
O2 O 0.5000 0.0000 0.0000 1
```

Compound: BaMnHg2
Source: Alexandria via LeMat-Bulk
Functional: PBEsol
Structure: optimized geometry

Properties
Energy of formation (eV per atom): 0.2125
Space group: P4/mmm (123)

The structure in CIF format:
```
data_BaMnHg2
_cell_length_a 4.4085
_cell_length_b 4.9518
_cell_length_c 4.9518
_cell_angle_alpha 90.00
_cell_angle_beta 90.00
_cell_angle_gamma 90.00
_space_group_name_H-M_alt 'P 1'
_space_group_IT_number 1
_space_group_name_Hall 'P 1'
loop_
_atom_site_label
_atom_site_type_symbol
_atom_site_fract_x
_atom_site_fract_y
_atom_site_fract_z
_atom_site_occupancy
Ba1 Ba 0.5000 0.5000 0.5000 1
Hg1 Hg 0.0000 0.0000 0.5000 1
Hg2 Hg 0.0000 0.5000 0.0000 1
Mn1 Mn 0.5000 0.0000 0.0000 1
```

Compound: CsTlCl2
Source: Alexandria via LeMat-Bulk
Functional: PBEsol
Structure: optimized geometry

Properties
Raw formation energy (eV per atom): -1.2074
Space group: R-3m (166)
Distance to the lowest polymorph of the same formula (kcal/mol of atoms): 4.559

The structure in CIF format:
```
data_CsTlCl2
_cell_length_a 5.0400
_cell_length_b 5.0400
_cell_length_c 9.7477
_cell_angle_alpha 75.02
_cell_angle_beta 75.02
_cell_angle_gamma 60.00
_space_group_name_H-M_alt 'P 1'
_space_group_IT_number 1
_space_group_name_Hall 'P 1'
loop_
_atom_site_label
_atom_site_type_symbol
_atom_site_fract_x
_atom_site_fract_y
_atom_site_fract_z
_atom_site_occupancy
Cs1 Cs 0.5000 0.5000 0.5000 1
Tl1 Tl 0.0000 0.0000 0.0000 1
Cl1 Cl 0.8988 0.8988 0.3035 1
Cl2 Cl 0.1012 0.1012 0.6965 1
```

Compound: Ni3PtPb
Source: Alexandria via LeMat-Bulk
Functional: PBEsol
Structure: optimized geometry

Properties
Energy of formation (eV per atom): 1.6641
Space group: Pm-3m (221)

The structure in CIF format:
```
data_Ni3PtPb
_cell_length_a 4.5776
_cell_length_b 4.5776
_cell_length_c 4.5776
_cell_angle_alpha 90.00
_cell_angle_beta 90.00
_cell_angle_gamma 90.00
_space_group_name_H-M_alt 'P 1'
_space_group_IT_number 1
_space_group_name_Hall 'P 1'
loop_
_atom_site_label
_atom_site_type_symbol
_atom_site_fract_x
_atom_site_fract_y
_atom_site_fract_z
_atom_site_occupancy
Pb1 Pb 0.0000 0.0000 0.0000 1
Ni1 Ni 0.0000 0.5000 0.0000 1
Ni2 Ni 0.0000 0.0000 0.5000 1
Ni3 Ni 0.5000 0.0000 0.0000 1
Pt1 Pt 0.5000 0.5000 0.5000 1
```

Compound: ScBeO2
Source: Alexandria via LeMat-Bulk
Functional: PBEsol
Structure: optimized geometry

Properties
Raw formation energy (eV per atom): -2.5186
Space group: R-3m (166)

The structure in CIF format:
```
data_ScBeO2
_cell_length_a 3.3047
_cell_length_b 3.3047
_cell_length_c 5.3744
_cell_angle_alpha 72.09
_cell_angle_beta 72.09
_cell_angle_gamma 60.00
_space_group_name_H-M_alt 'P 1'
_space_group_IT_number 1
_space_group_name_Hall 'P 1'
loop_
_atom_site_label
_atom_site_type_symbol
_atom_site_fract_x
_atom_site_fract_y
_atom_site_fract_z
_atom_site_occupancy
Sc1 Sc 0.5000 0.5000 0.5000 1
Be1 Be 0.0000 0.0000 0.0000 1
O1 O 0.8993 0.8993 0.3021 1
O2 O 0.1007 0.1007 0.6979 1
```

Compound: Be2ZnInH
Source: Alexandria via LeMat-Bulk
Functional: PBEsol
Structure: optimized geometry

Properties
Space group: P4/mmm (123)

The structure in CIF format:
```
data_Be2ZnInH
_cell_length_a 3.3605
_cell_length_b 4.4594
_cell_length_c 4.4594
_cell_angle_alpha 90.00
_cell_angle_beta 90.00
_cell_angle_gamma 90.00
_space_group_name_H-M_alt 'P 1'
_space_group_IT_number 1
_space_group_name_Hall 'P 1'
loop_
_atom_site_label
_atom_site_type_symbol
_atom_site_fract_x
_atom_site_fract_y
_atom_site_fract_z
_atom_site_occupancy
Be1 Be 0.0000 0.0000 0.5000 1
Be2 Be 0.0000 0.5000 0.0000 1
Zn1 Zn 0.0000 0.0000 0.0000 1
H1 H 0.5000 0.0000 0.0000 1
In1 In 0.5000 0.5000 0.5000 1
```

Number 1: total DFT energy (no corrections) -1.72 eV per atom. Number 2: total DFT energy (no corrections) -7.05 eV per atom. Number 3: total DFT energy (no corrections) -5.93 eV per atom. Number 4: total DFT energy (no corrections) -7.62 eV per atom. Number 5: total DFT energy (no corrections) -5.32 eV per atom. Number 6: total DFT energy (no corrections) -3.05 eV per atom. Number 7: total DFT energy (no corrections) -3.10 eV per atom. Number 8: total DFT energy (no corrections) -4.22 eV per atom. Number 9: total DFT energy (no corrections) -7.79 eV per atom. Number 10: total DFT energy (no corrections) -2.48 eV per atom.